Record 1
Be3Ni5 | PBE-GGA | relaxed

Excess energy over the best structure of this formula in the dataset, meV per atom: 0
DFT total energy, eV/atom: -5.369

CIF file:
```
data_Be3Ni5
_cell_length_a 2.547
_cell_length_b 2.547
_cell_length_c 11.542
_cell_angle_alpha 90.00
_cell_angle_beta 90.00
_cell_angle_gamma 90.00
_space_group_name_H-M_alt 'P 4/m m m'
_space_group_IT_number 123
_space_group_name_Hall '-P 4 2'
loop_
_atom_site_label
_atom_site_type_symbol
_atom_site_fract_x
_atom_site_fract_y
_atom_site_fract_z
Be1 Be 0.000 0.000 0.000
Be2 Be 0.500 0.500 0.382
Ni1 Ni 0.000 0.000 0.268
Ni2 Ni 0.000 0.000 0.500
Ni3 Ni 0.500 0.500 0.116
```

=====

Record 2
BeNi3 | PBE-GGA | relaxed

DFT total energy, eV/atom: -5.413

CIF file:
```
data_BeNi3
_cell_length_a 3.904
_cell_length_b 3.904
_cell_length_c 2.645
_cell_angle_alpha 90.00
_cell_angle_beta 90.00
_cell_angle_gamma 90.00
_space_group_name_H-M_alt 'P 4/m m m'
_space_group_IT_number 123
_space_group_name_Hall '-P 4 2'
loop_
_atom_site_label
_atom_site_type_symbol
_atom_site_fract_x
_atom_site_fract_y
_atom_site_fract_z
Be1 Be 0.000 0.000 0.000
Ni1 Ni 0.000 0.500 0.500
Ni2 Ni 0.500 0.500 0.000
```

=====

Record 3
Be2Ni13 | PBE-GGA | relaxed

DFT total energy, eV/atom: -5.589

CIF file:
```
data_Be2Ni13
_cell_length_a 4.270
_cell_length_b 5.543
_cell_length_c 7.240
_cell_angle_alpha 72.11
_cell_angle_beta 74.11
_cell_angle_gamma 82.45
_space_group_name_H-M_alt 'P -1'
_space_group_IT_number 2
loop_
_space_group_symop_operation_xyz
'x,y,z'
'-x,-y,-z'
loop_
_atom_site_label
_atom_site_type_symbol
_atom_site_fract_x
_atom_site_fract_y
_atom_site_fract_z
Be1 Be 0.138 0.295 0.465
Ni1 Ni 0.000 0.500 0.000
Ni2 Ni 0.060 0.904 0.724
Ni3 Ni 0.200 0.691 0.215
Ni4 Ni 0.264 0.101 0.934
Ni5 Ni 0.317 0.502 0.659
Ni6 Ni 0.410 0.897 0.401
Ni7 Ni 0.468 0.299 0.139
```

=====

Record 4
Be8Ni3 | PBE-GGA | relaxed

DFT total energy, eV/atom: -4.594

CIF file:
```
data_Be8Ni3
_cell_length_a 7.840
_cell_length_b 2.781
_cell_length_c 8.867
_cell_angle_alpha 90.00
_cell_angle_beta 104.61
_cell_angle_gamma 90.00
_space_group_name_H-M_alt 'C 1 2/m 1'
_space_group_IT_number 12
loop_
_space_group_symop_operation_xyz
'x,y,z'
'-x,-y,-z'
'-x,y,-z'
'x,-y,z'
'x+1/2,y+1/2,z'
'-x+1/2,-y+1/2,-z'
'-x+1/2,y+1/2,-z'
'x+1/2,-y+1/2,z'
loop_
_atom_site_label
_atom_site_type_symbol
_atom_site_fract_x
_atom_site_fract_y
_atom_site_fract_z
Be1 Be 0.044 0.000 0.320
Be2 Be 0.134 0.000 0.956
Be3 Be 0.178 0.500 0.774
Be4 Be 0.228 0.000 0.592
Ni1 Ni 0.000 0.500 0.500
Ni2 Ni 0.096 0.500 0.144
```

=====

Record 5
BeNi3 | PBE-GGA | relaxed

DFT total energy, eV/atom: -5.412

CIF file:
```
data_BeNi3
_cell_length_a 2.4614
_cell_length_b 2.4614
_cell_length_c 23.0184
_cell_angle_alpha 90.00
_cell_angle_beta 90.00
_cell_angle_gamma 120.00
_space_group_name_H-M_alt 'R -3 m'
_space_group_IT_number 166
_space_group_name_Hall '-R 3 2"'
loop_
_atom_site_label
_atom_site_type_symbol
_atom_site_fract_x
_atom_site_fract_y
_atom_site_fract_z
Be1 Be 0.0000 0.0000 0.0000
Ni1 Ni 0.0000 0.0000 0.2566
Ni2 Ni 0.0000 0.0000 0.5000
```

=====

Record 6
Be3Ni | PBE-GGA | relaxed

Excess energy over the best structure of this formula in the dataset, meV per atom: 20
DFT total energy, eV/atom: -4.519

CIF file:
```
data_Be3Ni
_cell_length_a 3.216
_cell_length_b 3.216
_cell_length_c 13.144
_cell_angle_alpha 90.00
_cell_angle_beta 90.00
_cell_angle_gamma 90.00
_space_group_name_H-M_alt 'I 4/m m m'
_space_group_IT_number 139
_space_group_name_Hall '-I 4 2'
loop_
_atom_site_label
_atom_site_type_symbol
_atom_site_fract_x
_atom_site_fract_y
_atom_site_fract_z
Be1 Be 0.000 0.000 0.126
Be2 Be 0.000 0.500 0.000
Be3 Be 0.000 0.500 0.250
Ni1 Ni 0.000 0.000 0.376
```

=====

Record 7
Be6Ni7 | PBE-GGA | relaxed

DFT total energy, eV/atom: -4.793

CIF file:
```
data_Be6Ni7
_cell_length_a 4.5906
_cell_length_b 4.5906
_cell_length_c 22.4400
_cell_angle_alpha 90.00
_cell_angle_beta 90.00
_cell_angle_gamma 120.00
_space_group_name_H-M_alt 'R -3 m'
_space_group_IT_number 166
_space_group_name_Hall '-R 3 2"'
loop_
_atom_site_label
_atom_site_type_symbol
_atom_site_fract_x
_atom_site_fract_y
_atom_site_fract_z
Be1 Be 0.0000 0.0000 0.0547
Be2 Be 0.0000 0.0000 0.1578
Be3 Be 0.0000 0.0000 0.3347
Ni1 Ni 0.0000 0.0000 0.5000
Ni2 Ni 0.0037 0.5018 0.9183
```

=====

Record 8
BeNi8 | PBE-GGA | relaxed

Excess energy over the best structure of this formula in the dataset, meV per atom: 0
DFT total energy, eV/atom: -5.621

CIF file:
```
data_BeNi8
_cell_length_a 7.374
_cell_length_b 7.374
_cell_length_c 3.482
_cell_angle_alpha 90.00
_cell_angle_beta 90.00
_cell_angle_gamma 90.00
_space_group_name_H-M_alt 'I 4/m m m'
_space_group_IT_number 139
_space_group_name_Hall '-I 4 2'
loop_
_atom_site_label
_atom_site_type_symbol
_atom_site_fract_x
_atom_site_fract_y
_atom_site_fract_z
Be1 Be 0.000 0.000 0.000
Ni1 Ni 0.000 0.330 0.000
Ni2 Ni 0.164 0.164 0.500
```

=====

Record 9
Be3Ni | PBE-GGA | relaxed

Excess energy over the best structure of this formula in the dataset, meV per atom: 121
DFT total energy, eV/atom: -4.418

CIF file:
```
data_Be3Ni
_cell_length_a 7.2063
_cell_length_b 7.2063
_cell_length_c 2.3093
_cell_angle_alpha 90.00
_cell_angle_beta 90.00
_cell_angle_gamma 120.00
_space_group_name_H-M_alt 'R -3 m'
_space_group_IT_number 166
_space_group_name_Hall '-R 3 2"'
loop_
_atom_site_label
_atom_site_type_symbol
_atom_site_fract_x
_atom_site_fract_y
_atom_site_fract_z
Be1 Be 0.0000 0.5000 0.0000
Ni1 Ni 0.0000 0.0000 0.0000
```

=====

Record 10
Be3Ni5 | PBE-GGA | relaxed

Excess energy over the best structure of this formula in the dataset, meV per atom: 50
DFT total energy, eV/atom: -5.319

CIF file:
```
data_Be3Ni5
_cell_length_a 5.483
_cell_length_b 7.508
_cell_length_c 3.699
_cell_angle_alpha 90.00
_cell_angle_beta 90.00
_cell_angle_gamma 90.00
_space_group_name_H-M_alt 'C m m m'
_space_group_IT_number 65
_space_group_name_Hall '-C 2 2'
loop_
_atom_site_label
_atom_site_type_symbol
_atom_site_fract_x
_atom_site_fract_y
_atom_site_fract_z
Be1 Be 0.000 0.000 0.000
Be2 Be 0.000 0.264 0.500
Ni1 Ni 0.000 0.500 0.000
Ni2 Ni 0.228 0.000 0.500
Ni3 Ni 0.250 0.250 0.000
```

=====

Record 11
BeNi8 | PBE-GGA | relaxed

Excess energy over the best structure of this formula in the dataset, meV per atom: 55
DFT total energy, eV/atom: -5.565

CIF file:
```
data_BeNi8
_cell_length_a 8.613
_cell_length_b 8.613
_cell_length_c 2.561
_cell_angle_alpha 90.00
_cell_angle_beta 90.00
_cell_angle_gamma 90.00
_space_group_name_H-M_alt 'I 4/m m m'
_space_group_IT_number 139
_space_group_name_Hall '-I 4 2'
loop_
_atom_site_label
_atom_site_type_symbol
_atom_site_fract_x
_atom_site_fract_y
_atom_site_fract_z
Be1 Be 0.000 0.000 0.000
Ni1 Ni 0.000 0.333 0.000
Ni2 Ni 0.157 0.157 0.500
```

=====

Record 12
Be3Ni | PBE-GGA | relaxed

Excess energy over the best structure of this formula in the dataset, meV per atom: 0
DFT total energy, eV/atom: -4.539

CIF file:
```
data_Be3Ni
_cell_length_a 3.684
_cell_length_b 4.514
_cell_length_c 4.068
_cell_angle_alpha 90.00
_cell_angle_beta 90.00
_cell_angle_gamma 90.00
_space_group_name_H-M_alt 'P m m n'
_space_group_IT_number 59
loop_
_space_group_symop_operation_xyz
'x,y,z'
'-x,-y,-z'
'-x+1/2,-y+1/2,z'
'x+1/2,y+1/2,-z'
'x+1/2,-y,-z'
'-x+1/2,y,z'
'-x,y+1/2,-z'
'x,-y+1/2,z'
loop_
_atom_site_label
_atom_site_type_symbol
_atom_site_fract_x
_atom_site_fract_y
_atom_site_fract_z
Be1 Be 0.250 0.004 0.156
Be2 Be 0.250 0.750 0.663
Ni1 Ni 0.250 0.250 0.653
```